{
  "formula": "Dy2Ho3In7",
  "functional": "GGA-PBE",
  "state": "relaxed",
  "cell": [[-3.7023, 0.4105, 2.6886], [-2.8066, -1.3890, -3.6528], [2.9496, -13.8811, 6.1809]],
  "species": ["Dy", "Dy", "Ho", "Ho", "Ho", "In", "In", "In", "In", "In", "In", "In"],
  "frac_coords": [[0.0000, 0.8400, 0.6800], [0.0000, 0.1600, 0.3200], [0.5000, 0.5000, 0.0000], [0.5000, 0.6456, 0.2913], [0.5000, 0.3544, 0.7087], [0.0000, 0.4237, 0.8474], [0.0000, 0.7254, 0.4508], [0.0000, 0.0000, 0.0000], [0.0000, 0.5763, 0.1526], [0.5000, 0.0773, 0.1547], [0.5000, 0.9227, 0.8453], [0.0000, 0.2746, 0.5492]],
  "total_energy_ev_per_atom": -3.73,
  "ef_mev_per_atom": -220.9,
  "total_magnetization_mub_per_cell": 0.71
}